No. 1
Entry from OQMD via LeMat-Bulk: PmSmPa after structural relaxation (GGA-PBE).

```
3
Lattice="0.000 3.718 3.718 3.718 0.000 3.718 3.718 3.718 0.000" Properties=species:S:1:pos:R:3 pbc="T T T"
Pm 0.000 0.000 0.000
Sm 1.859 1.859 1.859
Pa 5.577 5.577 5.577
```

Values from the calculation:
Size of the total moment ... 2.12 Bohr magnetons per cell
Total DFT energy (no corrections) ... -15.70 eV for the cell shown
Space-group type ... F-43m (216)
Energy above the most stable polymorph in this dataset ... 0.00 eV/f.u.
Formation enthalpy at 0 K ... 3.25 eV/f.u.

***

No. 2
Entry from OQMD via LeMat-Bulk: PmZrO3 after structural relaxation (GGA-PBE).

```
10
Lattice="3.019 1.743 4.256 -3.019 1.743 4.256 0.000 -3.486 4.256" Properties=species:S:1:pos:R:3 pbc="T T T"
Pm 0.000 0.000 3.192
Pm 0.000 0.000 9.575
Zr 0.000 0.000 0.000
Zr 0.000 0.000 6.383
O -1.854 0.274 5.319
O -1.165 -1.469 7.447
O 0.690 -1.743 5.319
O -0.690 1.743 7.447
O 1.165 1.469 5.319
O 1.854 -0.274 7.447
```

Values from the calculation:
Size of the total moment ... 0.02 Bohr magnetons per cell
Total DFT energy (no corrections) ... -86.76 eV for the cell shown
Space-group type ... R-3c (167)

***

No. 3
Entry from OQMD via LeMat-Bulk: Mo3Pd2Br after structural relaxation (GGA-PBE).

```
6
Lattice="5.103 0.000 0.000 -2.552 4.420 0.000 0.000 0.000 4.822" Properties=species:S:1:pos:R:3 pbc="T T T"
Mo -1.276 2.210 0.000
Mo 2.552 0.000 0.000
Mo 1.276 2.210 0.000
Pd 0.000 2.946 2.411
Pd 2.552 1.473 2.411
Br 0.000 0.000 2.411
```

Values from the calculation:
Size of the total moment ... 0.02 Bohr magnetons per cell
Total DFT energy (no corrections) ... -39.59 eV for the cell shown
Space-group type ... P6/mmm (191)

***

No. 4
Entry from OQMD via LeMat-Bulk: LiAs5Ir3 after structural relaxation (GGA-PBE).

```
9
Lattice="5.564 0.000 0.000 -2.782 4.818 0.000 0.000 0.000 7.318" Properties=species:S:1:pos:R:3 pbc="T T T"
Li 0.000 0.000 0.000
As 0.000 0.000 3.659
As 0.000 3.212 1.705
As 0.000 3.212 5.612
As 2.782 1.606 1.705
As 2.782 1.606 5.612
Ir -1.391 2.409 3.659
Ir 2.782 0.000 3.659
Ir 1.391 2.409 3.659
```

Values from the calculation:
Size of the total moment ... 0.02 Bohr magnetons per cell
Total DFT energy (no corrections) ... -51.37 eV for the cell shown
Space-group type ... P6/mmm (191)

***

No. 5
Entry from OQMD via LeMat-Bulk: HfMg after structural relaxation (GGA-PBE).

```
12
Lattice="6.281 0.000 0.000 0.000 5.043 0.000 -1.648 0.000 8.422" Properties=species:S:1:pos:R:3 pbc="T T T"
Hf -0.050 1.261 0.766
Hf -0.080 1.261 6.585
Hf 1.495 3.782 7.620
Hf 3.138 1.261 0.802
Hf 4.713 3.782 1.837
Hf 4.683 3.782 7.656
Mg -0.044 3.782 4.747
Mg 1.586 3.782 1.928
Mg 1.483 1.261 3.621
Mg 3.150 3.782 4.801
Mg 3.048 1.261 6.494
Mg 4.678 1.261 3.675
```

Values from the calculation:
Size of the total moment ... 0.01 Bohr magnetons per cell
Total DFT energy (no corrections) ... -68.00 eV for the cell shown
Space-group type ... P2_1/m (11)

***

No. 6
Entry from OQMD via LeMat-Bulk: Nb2S after structural relaxation (GGA-PBE).

```
6
Lattice="0.000 3.815 3.815 3.815 0.000 3.815 3.815 3.815 0.000" Properties=species:S:1:pos:R:3 pbc="T T T"
Nb 0.000 0.000 0.000
Nb 1.908 1.908 0.000
Nb 1.908 0.000 1.908
Nb 0.000 1.908 1.908
S 2.861 2.861 2.861
S 4.769 4.769 4.769
```

Values from the calculation:
Size of the total moment ... 0.00 Bohr magnetons per cell
Total DFT energy (no corrections) ... -44.91 eV for the cell shown
Space-group type ... Fd-3m (227)